No. 1
Entry from the Alexandria database: an optimized crystal structure of KSb2W (PBEsol).

The structure in extended XYZ format:
```
4
Lattice="0.0000 3.5788 3.5788 3.5788 0.0000 3.5788 3.5788 3.5788 0.0000" Properties=species:S:1:pos:R:3 pbc="T T T"
K 0.0000 0.0000 0.0000
Sb 1.7894 1.7894 1.7894
Sb 3.5788 3.5788 3.5788
W 5.3682 5.3682 5.3682
```

## Properties
ΔE to the lowest computed polymorph ... 967 meV per atom
Formation energy without anion corrections ... 1209.7 meV/atom
Magnetization ... 1.071 Bohr magnetons per cell
Symmetry ... F-43m, No. 216
Final energy ... -4.8041 eV/atom

No. 2
Entry from the Alexandria database: an optimized crystal structure of KSb2W (PBEsol).

The structure in extended XYZ format:
```
4
Lattice="-1.7219 1.7588 8.7520 1.7219 -1.7588 8.7520 1.7219 1.7588 -8.7520" Properties=species:S:1:pos:R:3 pbc="T T T"
K 0.0000 0.0000 0.0000
Sb 1.7219 0.0000 5.8171
Sb 0.0000 0.0000 11.2212
W 0.0000 1.7588 4.5138
```

## Properties
ΔE to the lowest computed polymorph ... 0 meV per atom
Formation energy without anion corrections ... 242.6 meV/atom
Magnetization ... 0.000 Bohr magnetons per cell
Symmetry ... Imm2, No. 44
Final energy ... -5.7713 eV/atom